Entry 1:
GaTeMo2N after structural relaxation, computed with GGA-PBEsol.

Geometry as extended XYZ:
```
5
Lattice="4.931 0.000 0.000 0.000 4.931 0.000 0.000 0.000 5.205" Properties=species:S:1:pos:R:3 pbc="T T T"
Ga 0.000 0.000 0.000
Te 0.000 0.000 2.602
Mo 0.000 2.466 2.602
Mo 2.466 0.000 2.602
N 2.466 2.466 0.000
```

Computed properties:
Total energy (eV for the cell shown): -24.4
SG: P4/mmm (123)

Entry 2:
Na3GaMo after structural relaxation, computed with GGA-PBEsol.

Geometry as extended XYZ:
```
5
Lattice="5.754 0.000 0.000 0.000 5.754 0.000 0.000 0.000 5.754" Properties=species:S:1:pos:R:3 pbc="T T T"
Na 0.000 0.000 2.877
Na 0.000 2.877 0.000
Na 2.877 0.000 0.000
Ga 2.877 2.877 2.877
Mo 0.000 0.000 0.000
```

Computed properties:
ΔH_f (0 K) (eV per atom): 1.48
Total energy (eV for the cell shown): -11.9
SG: Pm-3m (221)

Entry 3:
Nb2Ga2Mo after structural relaxation, computed with GGA-PBEsol.

Geometry as extended XYZ:
```
10
Lattice="6.729 0.000 0.000 0.000 6.729 0.000 0.000 0.000 3.512" Properties=species:S:1:pos:R:3 pbc="T T T"
Nb 1.173 2.191 0.000
Nb 2.191 5.556 0.000
Nb 4.537 1.173 0.000
Nb 5.556 4.537 0.000
Ga 0.864 4.229 1.756
Ga 2.500 0.864 1.756
Ga 4.229 5.865 1.756
Ga 5.865 2.500 1.756
Mo 0.000 0.000 1.756
Mo 3.364 3.364 1.756
```

Computed properties:
E above lowest polymorph (meV per atom): 0
ΔH_f (0 K) (eV per atom): -0.30
Total energy (eV for the cell shown): -83.2
SG: P4/mbm (127)

Entry 4:
Nb2Ga2Mo after structural relaxation, computed with GGA-PBEsol.

Geometry as extended XYZ:
```
10
Lattice="3.392 0.000 0.000 0.000 3.392 0.000 0.000 0.000 14.840" Properties=species:S:1:pos:R:3 pbc="T T T"
Nb 0.000 0.000 1.447
Nb 0.000 0.000 13.393
Nb 1.696 1.696 5.973
Nb 1.696 1.696 8.867
Ga 0.000 1.696 3.710
Ga 0.000 1.696 11.130
Ga 1.696 0.000 3.710
Ga 1.696 0.000 11.130
Mo 0.000 0.000 7.420
Mo 1.696 1.696 0.000
```

Computed properties:
E above lowest polymorph (meV per atom): 503
ΔH_f (0 K) (eV per atom): 0.20
Total energy (eV for the cell shown): -78.2
SG: I4/mmm (139)

Entry 5:
Ga2NiMo after structural relaxation, computed with GGA-PBEsol.

Geometry as extended XYZ:
```
16
Lattice="5.986 0.000 0.000 0.000 5.986 0.000 0.000 0.000 5.986" Properties=species:S:1:pos:R:3 pbc="T T T"
Ga 1.497 1.497 1.497
Ga 1.497 1.497 4.490
Ga 1.497 4.490 1.497
Ga 1.497 4.490 4.490
Ga 4.490 1.497 1.497
Ga 4.490 1.497 4.490
Ga 4.490 4.490 1.497
Ga 4.490 4.490 4.490
Ni 0.000 0.000 0.000
Ni 0.000 2.993 2.993
Ni 2.993 0.000 2.993
Ni 2.993 2.993 0.000
Mo 0.000 0.000 2.993
Mo 0.000 2.993 0.000
Mo 2.993 0.000 0.000
Mo 2.993 2.993 2.993
```

Computed properties:
ΔH_f (0 K) (eV per atom): -0.04
Total energy (eV for the cell shown): -99.0
SG: Fm-3m (225)

Entry 6:
GaMoO3 after structural relaxation, computed with GGA-PBEsol.

Geometry as extended XYZ:
```
5
Lattice="3.754 0.000 0.000 0.000 3.754 0.000 0.000 0.000 3.754" Properties=species:S:1:pos:R:3 pbc="T T T"
Ga 0.000 0.000 0.000
Mo 1.877 1.877 1.877
O 0.000 0.000 1.877
O 0.000 1.877 0.000
O 1.877 0.000 0.000
```

Computed properties:
Total energy (eV for the cell shown): -34.2
SG: Pm-3m (221)

Entry 7:
GaMoPO2 after structural relaxation, computed with GGA-PBEsol.

Geometry as extended XYZ:
```
5
Lattice="3.617 0.000 0.000 0.000 3.617 0.000 0.000 0.000 5.274" Properties=species:S:1:pos:R:3 pbc="T T T"
Ga 0.000 0.000 0.000
Mo 1.809 1.809 2.637
P 0.000 0.000 2.637
O 0.000 1.809 0.000
O 1.809 0.000 0.000
```

Computed properties:
Total energy (eV for the cell shown): -31.6
SG: P4/mmm (123)

Entry 8:
GaMoP2 after structural relaxation, computed with GGA-PBEsol.

Geometry as extended XYZ:
```
16
Lattice="5.536 0.000 0.000 0.000 5.536 0.000 0.000 0.000 10.474" Properties=species:S:1:pos:R:3 pbc="T T T"
Ga 0.000 0.000 0.000
Ga 0.000 2.768 2.619
Ga 2.768 0.000 7.856
Ga 2.768 2.768 5.237
Mo 0.000 0.000 5.237
Mo 0.000 2.768 7.856
Mo 2.768 0.000 2.619
Mo 2.768 2.768 0.000
P 1.333 1.384 6.546
P 1.384 4.101 9.165
P 1.384 4.204 3.928
P 1.436 1.384 1.309
P 4.101 4.152 1.309
P 4.152 1.333 3.928
P 4.152 1.436 9.165
P 4.204 4.152 6.546
```

Computed properties:
ΔH_f (0 K) (eV per atom): 0.11
Total energy (eV for the cell shown): -105.0
SG: I-42d (122)

Number 1: spin magnetization 3.92 Bohr magnetons per cell. Number 2: spin magnetization 4.85 Bohr magnetons per cell. Number 3: spin magnetization 0.00 Bohr magnetons per cell. Number 4: spin magnetization 0.00 Bohr magnetons per cell. Number 5: spin magnetization 0.02 Bohr magnetons per cell. Number 6: spin magnetization 3.00 Bohr magnetons per cell. Number 7: spin magnetization 1.94 Bohr magnetons per cell. Number 8: spin magnetization 2.20 Bohr magnetons per cell.